First-principles (PBE-GGA) data for crystalline AcLa12Ho5 at its relaxed geometry, as listed in Alexandria.

Cell lengths 12.540, 10.755, 5.880 Å; angles 89.94, 89.90, 54.34 degrees
Fractional positions:
Ac  0.000  0.000  0.000
Ho  0.861  0.279  0.500
La  0.695  0.000  0.019
Ho  0.500  0.000  0.500
La  0.330  0.637  0.002
Ho  0.635  0.730  0.000
La  0.208  0.000  0.479
La  0.967  0.363  0.002
La  0.472  0.356  0.498
La  0.792  0.000  0.521
La  0.670  0.363  0.998
Ho  0.139  0.721  0.500
La  0.033  0.637  0.998
La  0.828  0.644  0.498
Ho  0.365  0.270  0.000
La  0.172  0.356  0.502
La  0.305  0.000  0.981
La  0.528  0.644  0.502

Summary:
Fermi-level density of states   1.61 states/eV/atom
Crystal system   monoclinic
Total moment   0.000 Bohr magnetons per cell
Formation energy   0.08 eV per atom



First-principles (PBE-GGA) data for crystalline Ac2La4Ho5 at its relaxed geometry, as listed in Alexandria.

Cell lengths 3.769, 9.124, 12.505 Å; angles 112.26, 98.67, 90.00 degrees
Fractional positions:
Ac  0.390  0.229  0.781
Ho  0.252  0.840  0.504
Ho  0.500  0.000  0.000
La  0.959  0.634  0.917
Ho  0.748  0.160  0.496
Ho  0.125  0.128  0.251
La  0.041  0.366  0.083
La  0.316  0.522  0.632
La  0.684  0.478  0.368
Ho  0.875  0.872  0.749
Ac  0.610  0.771  0.219

Summary:
Fermi-level density of states   1.58 states/eV/atom
Crystal system   monoclinic
Total moment   0.000 Bohr magnetons per cell
Formation energy   0.04 eV per atom



First-principles (PBE-GGA) data for crystalline Ac7La3Ho at its relaxed geometry, as listed in Alexandria.

Cell lengths 6.949, 8.360, 8.360 Å; angles 84.32, 86.02, 86.02 degrees
Fractional positions:
Ac  0.260  0.086  0.425
Ac  0.740  0.575  0.914
La  0.500  0.000  0.000
Ac  0.740  0.914  0.575
Ho  0.500  0.500  0.500
Ac  0.228  0.761  0.761
La  0.000  0.836  0.164
Ac  0.000  0.500  0.500
La  0.000  0.164  0.836
Ac  0.772  0.239  0.239
Ac  0.260  0.425  0.086

Summary:
Fermi-level density of states   1.70 states/eV/atom
Crystal system   monoclinic
Total moment   0.001 Bohr magnetons per cell
Formation energy   0.25 eV per atom



First-principles (PBE-GGA) data for crystalline Ac2La4Ho7 at its relaxed geometry, as listed in Alexandria.

Cell lengths 6.256, 6.256, 13.629 Å; angles 90.00, 90.00, 120.00 degrees
Fractional positions:
La  0.000  0.000  0.392
La  0.000  0.000  0.608
Ho  0.353  0.353  0.785
Ho  0.000  0.647  0.785
Ho  0.353  0.000  0.215
La  0.667  0.333  0.500
Ho  0.000  0.000  0.000
Ac  0.667  0.333  0.000
Ho  0.647  0.647  0.215
Ho  0.647  0.000  0.785
La  0.333  0.667  0.500
Ac  0.333  0.667  0.000
Ho  0.000  0.353  0.215

Summary:
Fermi-level density of states   1.57 states/eV/atom
Crystal system   trigonal
Total moment   0.000 Bohr magnetons per cell
Formation energy   0.18 eV per atom



First-principles (PBE-GGA) data for crystalline Ac12La3Ho at its relaxed geometry, as listed in Alexandria.

Cell lengths 5.549, 5.549, 22.166 Å; angles 90.00, 90.00, 90.00 degrees
Fractional positions:
Ac  0.500  0.500  0.752
La  0.000  0.000  0.248
Ac  0.500  0.000  0.878
Ac  0.000  0.500  0.122
La  0.000  0.000  0.752
Ac  0.500  0.000  0.626
La  0.000  0.000  0.500
Ac  0.500  0.000  0.122
Ac  0.500  0.500  0.248
Ac  0.000  0.500  0.626
Ho  0.000  0.000  0.000
Ac  0.000  0.500  0.878
Ac  0.500  0.500  0.000
Ac  0.500  0.500  0.500
Ac  0.500  0.000  0.374
Ac  0.000  0.500  0.374

Summary:
Fermi-level density of states   1.81 states/eV/atom
Crystal system   tetragonal
Total moment   0.000 Bohr magnetons per cell
Formation energy   0.02 eV per atom



First-principles (PBE-GGA) data for crystalline Ac3La3Ho2 at its relaxed geometry, as listed in Alexandria.

Cell lengths 5.365, 5.349, 10.596 Å; angles 90.00, 90.00, 90.00 degrees
Fractional positions:
La  0.500  0.000  0.000
Ho  0.000  0.000  0.754
Ac  0.500  0.000  0.500
La  0.500  0.500  0.754
Ho  0.000  0.000  0.246
La  0.500  0.500  0.246
Ac  0.000  0.500  0.000
Ac  0.000  0.500  0.500

Summary:
Fermi-level density of states   1.29 states/eV/atom
Crystal system   orthorhombic
Total moment   0.000 Bohr magnetons per cell
Formation energy   0.03 eV per atom



Q: Among the records above, which one has the lowest Fermi-level density of states?
A: Ac3La3Ho2